1.
Here is a geometry-optimized MgMn2Si structure from Alexandria via LeMat-Bulk. Energies are from GGA-PBE.

a b c (Å): 2.881 2.882 6.383
angles (deg): 90.00 90.00 90.00
Each line ends with the local moment (μB).
Element x y z (fractional)
Si: 0.000 0.000 0.450  0.03
Mn: 0.500 0.500 0.252  -0.32
Mn: 0.000 0.000 0.040  1.52
Mg: 0.500 0.500 0.758  -0.02

Formation energy from raw total energies, eV per atom: 0.041
Symmetry: P4mm (99)

---

2.
Here is a geometry-optimized KSrLa structure from Alexandria via LeMat-Bulk. Energies are from GGA-PBE.

a b c (Å): 6.762 6.762 16.951
angles (deg): 48.37 48.37 34.24
Element x y z (fractional)
K: 0.412 0.412 0.757
K: 0.341 0.341 0.550
La: 0.179 0.179 0.210
La: 0.574 0.574 0.097
Sr: 0.773 0.773 0.362
Sr: 0.980 0.980 0.945

Distance to the lowest polymorph of the same formula, eV per formula unit: 0.00
Symmetry: C2/m (12)

---

3.
Here is a geometry-optimized Ba2Mg3Bi4Pb structure from Alexandria via LeMat-Bulk. Energies are from GGA-PBE.

a b c (Å): 5.575 5.575 11.231
angles (deg): 90.00 90.00 90.00
Element x y z (fractional)
Bi: 0.000 0.500 0.366
Bi: 0.000 0.000 0.000
Bi: 0.500 0.000 0.634
Bi: 0.500 0.500 0.000
Pb: 0.500 0.500 0.500
Mg: 0.000 0.500 0.105
Mg: 0.000 0.000 0.500
Mg: 0.500 0.000 0.895
Ba: 0.000 0.500 0.765
Ba: 0.500 0.000 0.235

DFT total energy, eV/f.u.: -32.08
Symmetry: P-4m2 (115)

---

4.
Here is a geometry-optimized PuCu2Sn structure from Alexandria via LeMat-Bulk. Energies are from GGA-PBE.

a b c (Å): 3.741 4.594 4.594
angles (deg): 90.00 90.00 90.00
Each line ends with the local moment (μB).
Element x y z (fractional)
Cu: 0.000 0.500 0.000  0.06
Cu: 0.000 0.000 0.500  0.06
Sn: 0.500 0.000 0.000  -0.01
Pu: 0.500 0.500 0.500  5.29

DFT total energy, eV/f.u.: -26.25
Symmetry: P4/mmm (123)

---

5.
Here is a geometry-optimized Li2ClF structure from Alexandria via LeMat-Bulk. Energies are from GGA-PBE.

a b c (Å): 3.318 3.318 5.677
angles (deg): 73.01 73.01 60.00
Element x y z (fractional)
Li: 0.737 0.737 0.789
Li: 0.263 0.263 0.211
Cl: 0.500 0.500 0.500
F: 0.000 0.000 0.000

Distance to the lowest polymorph of the same formula, eV per formula unit: 0.38
Formation energy from raw total energies, eV per atom: -2.263
Symmetry: R-3m (166)

---

6.
Here is a geometry-optimized AcPrNd2H structure from Alexandria via LeMat-Bulk. Energies are from GGA-PBE.

a b c (Å): 5.291 5.281 5.281
angles (deg): 90.00 90.00 90.00
Element x y z (fractional)
H: 0.000 0.000 0.000
Nd: 0.000 0.500 0.000
Nd: 0.000 0.000 0.500
Pr: 0.500 0.000 0.000
Ac: 0.500 0.500 0.500

DFT total energy, eV/f.u.: -22.60
Symmetry: P4/mmm (123)

---

7.
Here is a geometry-optimized Rb2UAgO6 structure from Alexandria via LeMat-Bulk. Energies are from GGA-PBE.

a b c (Å): 6.477 6.476 6.477
angles (deg): 53.81 53.81 79.58
Each line ends with the local moment (μB).
Element x y z (fractional)
U: 0.500 0.500 0.000  0.09
O: 0.307 0.306 0.000  0.10
O: 0.245 0.754 0.000  0.10
O: 0.755 0.246 0.000  0.10
O: 0.754 0.755 0.490  0.10
O: 0.693 0.694 0.000  0.10
O: 0.246 0.245 0.510  0.10
Ag: 0.000 0.000 0.000  0.04
Rb: 0.750 0.250 0.500  0.00
Rb: 0.250 0.750 0.500  0.00

Formation energy from raw total energies, eV per atom: -1.754
Symmetry: I4/mmm (139)

---

8.
Here is a geometry-optimized DyTiCoCu structure from Alexandria via LeMat-Bulk. Energies are from GGA-PBE.

a b c (Å): 4.556 4.556 4.556
angles (deg): 60.00 60.00 60.00
Each line ends with the local moment (μB).
Element x y z (fractional)
Ti: 0.750 0.750 0.750  -0.40
Dy: 0.250 0.250 0.250  -0.10
Cu: 0.000 0.000 0.000  -0.02
Co: 0.500 0.500 0.500  0.50

DFT total energy, eV/f.u.: -23.97
Symmetry: F-43m (216)